{"formula": "Ce2Er5Tm6", "functional": "PBE", "state": "optimized geometry", "lattice_angstrom": [[3.492, 0.000, 0.000], [0.000, 11.271, 0.000], [0.000, 0.000, 20.388]], "species": ["Ce", "Ce", "Ce", "Ce", "Er", "Er", "Er", "Er", "Er", "Er", "Er", "Er", "Er", "Er", "Tm", "Tm", "Tm", "Tm", "Tm", "Tm", "Tm", "Tm", "Tm", "Tm", "Tm", "Tm"], "fractional_positions": [[0.000, 0.312, 0.265], [0.000, 0.688, 0.735], [0.000, 0.812, 0.235], [0.000, 0.188, 0.765], [0.500, 0.314, 0.421], [0.500, 0.686, 0.579], [0.500, 0.814, 0.079], [0.500, 0.186, 0.921], [0.500, 0.567, 0.294], [0.500, 0.433, 0.706], [0.500, 0.067, 0.206], [0.500, 0.933, 0.794], [0.500, 0.500, 0.000], [0.500, 0.000, 0.500], [0.000, 0.067, 0.353], [0.000, 0.933, 0.647], [0.000, 0.567, 0.147], [0.000, 0.433, 0.853], [0.500, 0.316, 0.124], [0.500, 0.684, 0.876], [0.500, 0.816, 0.376], [0.500, 0.184, 0.624], [0.000, 0.584, 0.438], [0.000, 0.416, 0.562], [0.000, 0.084, 0.062], [0.000, 0.916, 0.938]], "m_tot_mub_per_atom": 0.090, "dos_ef_per_ev_fu": 23.1, "volume_a3_per_atom": 30.9, "formation_energy_ev_per_atom": 0.131}

***

{"formula": "Ce3Al4Ga4", "functional": "PBE", "state": "optimized geometry", "lattice_angstrom": [[-1.041, -3.530, -2.408], [6.865, -1.042, -1.440], [-2.302, -1.987, 7.923]], "species": ["Ce", "Ce", "Ce", "Al", "Al", "Al", "Al", "Ga", "Ga", "Ga", "Ga"], "fractional_positions": [[0.131, 0.131, 0.262], [0.869, 0.869, 0.738], [0.000, 0.500, 0.000], [0.342, 0.155, 0.683], [0.658, 0.472, 0.317], [0.658, 0.845, 0.317], [0.342, 0.528, 0.683], [0.215, 0.715, 0.430], [0.785, 0.285, 0.570], [0.500, 0.821, 0.000], [0.500, 0.179, 0.000]], "m_tot_mub_per_atom": 0.223, "dos_ef_per_ev_fu": 17.7, "volume_a3_per_atom": 21.0, "formation_energy_ev_per_atom": -0.415}

***

{"formula": "V2S2I", "functional": "PBE", "state": "optimized geometry", "lattice_angstrom": [[-2.901, 6.395, 2.739], [-3.527, 1.206, -6.551], [-2.608, -1.654, 1.100]], "species": ["I", "I", "S", "S", "S", "S", "V", "V", "V", "V"], "fractional_positions": [[0.000, 0.000, 0.000], [0.500, 0.500, 0.000], [0.133, 0.633, 0.500], [0.633, 0.867, 0.500], [0.867, 0.367, 0.500], [0.367, 0.133, 0.500], [0.395, 0.895, 0.000], [0.895, 0.605, 0.000], [0.605, 0.105, 0.000], [0.105, 0.395, 0.000]], "raw_formation_energy_ev_per_atom": -0.24, "m_tot_mub_per_atom": 0.140, "dos_ef_per_ev_fu": 4.2, "de_polymorph_mev_per_atom": 55, "volume_a3_per_atom": 18.6}

***

{"formula": "YV2Au", "functional": "PBE", "state": "optimized geometry", "lattice_angstrom": [[0.000, 3.273, 3.273], [3.273, 0.000, 3.273], [3.273, 3.273, 0.000]], "species": ["Y", "Au", "V", "V"], "fractional_positions": [[0.000, 0.000, 0.000], [0.500, 0.500, 0.500], [0.250, 0.250, 0.250], [0.750, 0.750, 0.750]], "m_tot_mub_per_atom": 0.305, "dos_ef_per_ev_fu": 6.4, "de_polymorph_mev_per_atom": 0, "volume_a3_per_atom": 17.5, "formation_energy_ev_per_atom": 0.403}

***

{"formula": "Ac6Si2Se3I", "functional": "PBE", "state": "optimized geometry", "lattice_angstrom": [[-2.068, 3.444, 2.129], [-5.996, 0.699, -6.955], [-3.501, -8.159, 4.942]], "species": ["Ac", "Ac", "Ac", "Ac", "Ac", "Ac", "Si", "Si", "Se", "Se", "Se", "I"], "fractional_positions": [[0.323, 0.895, 0.646], [0.670, 0.576, 0.340], [0.677, 0.105, 0.354], [0.007, 0.278, 0.015], [0.993, 0.722, 0.985], [0.330, 0.424, 0.660], [0.834, 0.669, 0.668], [0.166, 0.331, 0.332], [0.500, 0.500, 0.000], [0.840, 0.163, 0.679], [0.160, 0.837, 0.321], [0.500, 0.000, 0.000]], "raw_formation_energy_ev_per_atom": -1.33, "m_tot_mub_per_atom": 0.000, "dos_ef_per_ev_fu": 4.7, "volume_a3_per_atom": 33.8}

***

{"formula": "Na2TbRuO6", "functional": "PBE", "state": "optimized geometry", "lattice_angstrom": [[5.629, 0.000, -0.040], [0.000, 5.754, 0.000], [-0.009, 0.000, 8.054]], "species": ["Na", "Na", "Na", "Na", "Tb", "Tb", "Ru", "Ru", "O", "O", "O", "O", "O", "O", "O", "O", "O", "O", "O", "O"], "fractional_positions": [[0.009, 0.960, 0.250], [0.509, 0.540, 0.750], [0.991, 0.040, 0.750], [0.491, 0.460, 0.250], [0.500, 0.000, 0.000], [0.000, 0.500, 0.500], [0.500, 0.000, 0.500], [0.000, 0.500, 0.000], [0.275, 0.684, 0.044], [0.775, 0.816, 0.544], [0.725, 0.316, 0.956], [0.225, 0.184, 0.456], [0.321, 0.726, 0.450], [0.821, 0.774, 0.950], [0.679, 0.274, 0.550], [0.179, 0.226, 0.050], [0.911, 0.527, 0.227], [0.411, 0.973, 0.727], [0.089, 0.473, 0.773], [0.589, 0.027, 0.273]], "raw_formation_energy_ev_per_atom": -1.70, "m_tot_mub_per_atom": 0.028, "dos_ef_per_ev_fu": 4.3, "volume_a3_per_atom": 13.0}

***

{"formula": "Rb2U3Te6", "functional": "PBE", "state": "optimized geometry", "lattice_angstrom": [[-2.202, 1.109, 7.265], [-2.594, -5.898, 4.164], [7.512, -1.312, 5.183]], "species": ["Rb", "Rb", "U", "U", "U", "Te", "Te", "Te", "Te", "Te", "Te"], "fractional_positions": [[0.167, 0.667, 0.500], [0.833, 0.333, 0.500], [0.000, 0.000, 0.000], [0.333, 0.335, 0.000], [0.667, 0.665, 0.000], [0.400, 0.669, 0.800], [0.731, 0.000, 0.801], [0.069, 0.331, 0.800], [0.269, 0.000, 0.199], [0.600, 0.331, 0.200], [0.931, 0.669, 0.200]], "raw_formation_energy_ev_per_atom": -0.81, "m_tot_mub_per_atom": 0.727, "dos_ef_per_ev_fu": 19.2, "volume_a3_per_atom": 41.0}

***

{"formula": "Ce2AlCl", "functional": "PBE", "state": "optimized geometry", "lattice_angstrom": [[-0.681, -0.769, 3.211], [-0.412, -3.233, -0.861], [8.037, -1.389, 1.371]], "species": ["Al", "Ce", "Ce", "Cl"], "fractional_positions": [[0.500, 0.500, 0.500], [0.000, 0.000, 0.749], [0.000, 0.000, 0.251], [0.500, 0.500, 0.000]], "raw_formation_energy_ev_per_atom": -0.76, "m_tot_mub_per_atom": 0.509, "dos_ef_per_ev_fu": 10.2, "de_polymorph_mev_per_atom": 0, "volume_a3_per_atom": 23.5}

***

{"formula": "Sc2TaRh", "functional": "PBE", "state": "optimized geometry", "lattice_angstrom": [[-1.809, 5.615, -7.597], [-1.859, 2.854, -8.995], [-4.403, 3.927, -7.596]], "species": ["Rh", "Sc", "Sc", "Ta"], "fractional_positions": [[0.753, 0.753, 0.753], [0.012, 0.012, 0.012], [0.243, 0.243, 0.243], [0.492, 0.492, 0.492]], "m_tot_mub_per_atom": 0.000, "dos_ef_per_ev_fu": 4.5, "de_polymorph_mev_per_atom": 253, "volume_a3_per_atom": 19.6, "formation_energy_ev_per_atom": -0.111}

***

{"formula": "Ce2BeFe", "functional": "PBE", "state": "optimized geometry", "lattice_angstrom": [[-1.829, -2.986, -1.043], [-1.125, -2.418, 2.497], [-8.672, 2.621, 1.303]], "species": ["Be", "Fe", "Ce", "Ce"], "fractional_positions": [[0.000, 0.000, 0.000], [0.500, 0.500, 0.500], [0.110, 0.110, 0.670], [0.890, 0.890, 0.330]], "m_tot_mub_per_atom": 0.241, "dos_ef_per_ev_fu": 8.7, "volume_a3_per_atom": 25.7, "formation_energy_ev_per_atom": 0.796}